LiVP4O12 | GGA+U | optimized geometry

total energy: -7.211 eV per atom
energy above the most stable polymorph in this dataset: 0 meV/atom

Lattice parameters (Å, degrees): 8.6112 8.6112 7.8410 98.05 98.05 113.72
With the nearest neighbours (Å) after each atom.
Positions (direct):
Li 0.1603 0.8397 0.5000  3 O 1.88-2.07
Li 0.8397 0.1603 0.0000  3 O 1.88-2.07
V 0.2206 0.4727 0.0289  6 O 2.02-2.07
V 0.4727 0.2206 0.5289  6 O 2.02-2.07
P 0.1139 0.7563 0.8777  4 O 1.48-1.62
P 0.1302 0.2841 0.6052  4 O 1.50-1.61
P 0.2841 0.1302 0.1052  4 O 1.50-1.61
P 0.3874 0.5476 0.4551  4 O 1.50-1.61
P 0.5476 0.3874 0.9551  4 O 1.50-1.61
P 0.5779 0.9258 0.6151  4 O 1.47-1.62
P 0.7563 0.1139 0.3777  4 O 1.48-1.62
P 0.9258 0.5779 0.1151  4 O 1.47-1.62
O 0.0144 0.7119 0.2796  1 P 1.47
O 0.0765 0.7367 0.6844  1 P 1.48
O 0.0893 0.3364 0.7784  1 P 1.50
O 0.1682 0.9581 0.9633  2 P 1.57-1.62
O 0.1860 0.2420 0.1010  1 P 1.52
O 0.2143 0.4558 0.5277  2 P 1.61
O 0.2420 0.1860 0.6010  1 P 1.52
O 0.2458 0.7009 0.9669  1 P 1.52
O 0.3364 0.0893 0.2784  1 P 1.50
O 0.3360 0.5944 0.2852  1 P 1.50
O 0.4276 0.9780 0.5786  1 P 1.54
O 0.4436 0.4918 0.9575  1 P 1.50
O 0.4558 0.2143 0.0277  2 P 1.61
O 0.4918 0.4436 0.4575  1 P 1.50
O 0.4922 0.7203 0.6052  2 P 1.60
O 0.5944 0.3360 0.7852  1 P 1.50
O 0.6628 0.9346 0.4426  2 P 1.62
O 0.7009 0.2458 0.4669  1 P 1.52
O 0.7119 0.0144 0.7796  1 P 1.47
O 0.7203 0.4922 0.1052  2 P 1.60
O 0.7367 0.0765 0.1844  1 P 1.48
O 0.9346 0.6628 0.9426  2 P 1.62
O 0.9581 0.1682 0.4633  2 P 1.57-1.62
O 0.9780 0.4276 0.0786  1 P 1.54